Record 1
The following is a DFT calculation (PBE-GGA) of a geometry-optimized LiZr structure. Values from VASP.

Summary:
Total moment = 0.04 μB per formula unit
Offset from the most stable computed form = 0.457 eV/atom
Uncorrected energy = -4.66 eV per atom
Calculated volume = 17.75 Å³/atom

Geometry as Quantum ESPRESSO input:
```
&SYSTEM
  ibrav = 0, nat = 4, ntyp = 2
/
ATOMIC_SPECIES
Li 6.94 Li.upf
Zr 91.22 Zr.upf
CELL_PARAMETERS angstrom
4.5255 0.0000 0.0000
-2.2627 3.9192 0.0000
0.0000 0.0000 4.0021
ATOMIC_POSITIONS angstrom
Li 0.0000 0.0000 0.0000
Li 0.0000 0.0000 2.0010
Zr 0.0000 2.6128 1.0005
Zr 2.2627 1.3064 3.0015
```



Record 2
The following is a DFT calculation (PBE-GGA) of a geometry-optimized AgN structure. Values from VASP.

Summary:
Offset from the most stable computed form = 0.130 eV/atom
Uncorrected energy = -3.85 eV per atom
Calculated volume = 14.85 Å³/atom

Geometry as Quantum ESPRESSO input:
```
&SYSTEM
  ibrav = 0, nat = 8, ntyp = 2
/
ATOMIC_SPECIES
Ag 107.87 Ag.upf
N 14.01 N.upf
CELL_PARAMETERS angstrom
4.9163 0.0000 0.0000
0.0000 4.9163 0.0000
0.0000 0.0000 4.9163
ATOMIC_POSITIONS angstrom
Ag 0.0000 0.0000 0.0000
Ag 0.0000 2.4582 2.4582
Ag 2.4582 0.0000 2.4582
Ag 2.4582 2.4582 0.0000
N 1.2291 1.2291 3.6872
N 1.2291 3.6872 1.2291
N 3.6872 1.2291 1.2291
N 3.6872 3.6872 3.6872
```



Record 3
The following is a DFT calculation (PBE-GGA) of a geometry-optimized SrMg2ZnCd structure. Values from VASP.

Summary:
Uncorrected energy = -1.59 eV per atom
Calculated volume = 25.67 Å³/atom

Geometry as Quantum ESPRESSO input:
```
&SYSTEM
  ibrav = 0, nat = 10, ntyp = 4
/
ATOMIC_SPECIES
Sr 87.62 Sr.upf
Mg 24.30 Mg.upf
Zn 65.41 Zn.upf
Cd 112.41 Cd.upf
CELL_PARAMETERS angstrom
4.5031 0.0000 0.0000
0.0000 4.5031 0.0000
0.0000 0.0000 12.6581
ATOMIC_POSITIONS angstrom
Sr 0.0000 0.0000 0.0000
Sr 2.2516 2.2516 6.3290
Mg 0.0000 2.2516 3.2902
Mg 0.0000 2.2516 9.6192
Mg 2.2516 0.0000 3.2902
Mg 2.2516 0.0000 9.6192
Zn 0.0000 0.0000 4.9807
Zn 2.2516 2.2516 11.3098
Cd 0.0000 0.0000 7.7133
Cd 2.2516 2.2516 1.3842
```



Record 4
The following is a DFT calculation (PBE-GGA) of a geometry-optimized TbAlZnNi structure. Values from VASP.

Summary:
Total moment = 0.00 μB per formula unit
Offset from the most stable computed form = 0.005 eV/atom
Uncorrected energy = -4.32 eV per atom
Calculated volume = 17.54 Å³/atom

Geometry as Quantum ESPRESSO input:
```
&SYSTEM
  ibrav = 0, nat = 16, ntyp = 4
/
ATOMIC_SPECIES
Tb 158.93 Tb.upf
Al 26.98 Al.upf
Zn 65.41 Zn.upf
Ni 58.69 Ni.upf
CELL_PARAMETERS angstrom
4.0934 0.0000 0.0000
0.0000 9.6630 0.0000
0.0000 0.0000 7.0953
ATOMIC_POSITIONS angstrom
Tb 0.0000 0.5952 0.0000
Tb 0.0000 9.0678 3.5476
Tb 2.0467 4.2363 3.5476
Tb 2.0467 5.4267 0.0000
Al 0.0000 3.3137 1.4084
Al 0.0000 6.3493 4.9561
Al 2.0467 1.5178 4.9561
Al 2.0467 8.1452 1.4084
Zn 0.0000 3.3993 5.7494
Zn 0.0000 6.2637 2.2018
Zn 2.0467 1.4322 2.2018
Zn 2.0467 8.2308 5.7494
Ni 0.0000 2.1239 3.6085
Ni 0.0000 7.5391 0.0608
Ni 2.0467 2.7076 0.0608
Ni 2.0467 6.9554 3.6085
```



Record 5
The following is a DFT calculation (PBE-GGA) of a geometry-optimized PrF3 structure. Values from VASP.

Summary:
Total moment = 0.00 μB per formula unit
Uncorrected energy = -6.65 eV per atom
Calculated volume = 14.37 Å³/atom

Geometry as Quantum ESPRESSO input:
```
&SYSTEM
  ibrav = 0, nat = 8, ntyp = 2
/
ATOMIC_SPECIES
Pr 140.91 Pr.upf
F 19.00 F.upf
CELL_PARAMETERS angstrom
5.9370 0.0000 0.0000
-2.9685 5.1416 0.0000
0.0000 0.0000 3.7665
ATOMIC_POSITIONS angstrom
Pr 0.0000 3.4277 0.9416
Pr 2.9685 1.7139 2.8249
F -1.5337 3.5753 2.8249
F 0.6391 2.0257 2.8249
F 2.0738 0.4594 0.9416
F 0.8947 4.6822 2.8249
F 2.3295 3.1159 0.9416
F 4.5022 1.5663 0.9416
```



Record 6
The following is a DFT calculation (PBE-GGA) of a geometry-optimized SrCuNiBi structure. Values from VASP.

Summary:
Total moment = 0.01 μB per formula unit
Offset from the most stable computed form = 0.168 eV/atom
Uncorrected energy = -3.60 eV per atom
Calculated volume = 21.57 Å³/atom

Geometry as Quantum ESPRESSO input:
```
&SYSTEM
  ibrav = 0, nat = 16, ntyp = 4
/
ATOMIC_SPECIES
Sr 87.62 Sr.upf
Cu 63.55 Cu.upf
Ni 58.69 Ni.upf
Bi 208.98 Bi.upf
CELL_PARAMETERS angstrom
7.0140 0.0000 0.0000
0.0000 7.0140 0.0000
0.0000 0.0000 7.0140
ATOMIC_POSITIONS angstrom
Sr 0.0000 0.0000 0.0000
Sr 0.0000 3.5070 3.5070
Sr 3.5070 0.0000 3.5070
Sr 3.5070 3.5070 0.0000
Cu 1.7535 1.7535 1.7535
Cu 1.7535 5.2605 5.2605
Cu 5.2605 1.7535 5.2605
Cu 5.2605 5.2605 1.7535
Ni 0.0000 0.0000 3.5070
Ni 0.0000 3.5070 0.0000
Ni 3.5070 0.0000 0.0000
Ni 3.5070 3.5070 3.5070
Bi 1.7535 1.7535 5.2605
Bi 1.7535 5.2605 1.7535
Bi 5.2605 1.7535 1.7535
Bi 5.2605 5.2605 5.2605
```



Record 7
The following is a DFT calculation (PBE-GGA) of a geometry-optimized CsYLu structure. Values from VASP.

Summary:
Total moment = 3.18 μB per formula unit
Offset from the most stable computed form = 0.000 eV/atom
Uncorrected energy = -2.69 eV per atom
Calculated volume = 52.15 Å³/atom

Geometry as Quantum ESPRESSO input:
```
&SYSTEM
  ibrav = 0, nat = 12, ntyp = 3
/
ATOMIC_SPECIES
Cs 132.91 Cs.upf
Y 88.91 Y.upf
Lu 174.97 Lu.upf
CELL_PARAMETERS angstrom
8.5533 0.0000 0.0000
0.0000 8.5533 0.0000
0.0000 0.0000 8.5533
ATOMIC_POSITIONS angstrom
Cs 0.0000 0.0000 0.0000
Cs 0.0000 4.2767 4.2767
Cs 4.2767 0.0000 4.2767
Cs 4.2767 4.2767 0.0000
Y 0.0000 0.0000 4.2767
Y 0.0000 4.2767 0.0000
Y 4.2767 0.0000 0.0000
Y 4.2767 4.2767 4.2767
Lu 2.1383 2.1383 2.1383
Lu 2.1383 6.4150 6.4150
Lu 6.4150 2.1383 6.4150
Lu 6.4150 6.4150 2.1383
```



Record 8
The following is a DFT calculation (PBE-GGA) of a geometry-optimized LiSiBPt structure. Values from VASP.

Summary:
Total moment = 0.00 μB per formula unit
Offset from the most stable computed form = 0.207 eV/atom
Uncorrected energy = -4.80 eV per atom
Calculated volume = 11.81 Å³/atom

Geometry as Quantum ESPRESSO input:
```
&SYSTEM
  ibrav = 0, nat = 16, ntyp = 4
/
ATOMIC_SPECIES
Li 6.94 Li.upf
Si 28.09 Si.upf
B 10.81 B.upf
Pt 195.08 Pt.upf
CELL_PARAMETERS angstrom
5.7388 0.0000 0.0000
0.0000 5.7388 0.0000
0.0000 0.0000 5.7388
ATOMIC_POSITIONS angstrom
Li 0.0000 0.0000 0.0000
Li 0.0000 2.8694 2.8694
Li 2.8694 0.0000 2.8694
Li 2.8694 2.8694 0.0000
Si 0.0000 0.0000 2.8694
Si 0.0000 2.8694 0.0000
Si 2.8694 0.0000 0.0000
Si 2.8694 2.8694 2.8694
B 1.4347 1.4347 4.3041
B 1.4347 4.3041 1.4347
B 4.3041 1.4347 1.4347
B 4.3041 4.3041 4.3041
Pt 1.4347 1.4347 1.4347
Pt 1.4347 4.3041 4.3041
Pt 4.3041 1.4347 4.3041
Pt 4.3041 4.3041 1.4347
```



Record 9
The following is a DFT calculation (PBE-GGA) of a geometry-optimized TaInAuSe3 structure. Values from VASP.

Summary:
Total moment = 0.02 μB per formula unit
Uncorrected energy = -5.01 eV per atom
Calculated volume = 23.25 Å³/atom

Geometry as Quantum ESPRESSO input:
```
&SYSTEM
  ibrav = 0, nat = 12, ntyp = 4
/
ATOMIC_SPECIES
Ta 180.95 Ta.upf
In 114.82 In.upf
Au 196.97 Au.upf
Se 78.96 Se.upf
CELL_PARAMETERS angstrom
1.8189 -7.5224 0.0000
1.8189 7.5224 0.0000
0.0000 0.0000 10.1950
ATOMIC_POSITIONS angstrom
Ta 0.0000 0.0000 0.0000
Ta 0.0000 0.0000 5.0975
In 1.8189 3.8022 7.6462
In 1.8189 -3.8022 2.5487
Au 1.8189 0.9199 2.5487
Au 1.8189 -0.9199 7.6462
Se 1.8189 6.4205 2.5487
Se 1.8189 1.9161 0.2287
Se 1.8189 1.9161 4.8688
Se 1.8189 -1.9161 5.3261
Se 1.8189 -1.9161 9.9663
Se 1.8189 -6.4205 7.6462
```



Record 10
The following is a DFT calculation (PBE-GGA) of a geometry-optimized BaNaAsPd structure. Values from VASP.

Summary:
Offset from the most stable computed form = 0.036 eV/atom
Uncorrected energy = -3.68 eV per atom
Calculated volume = 23.90 Å³/atom

Geometry as Quantum ESPRESSO input:
```
&SYSTEM
  ibrav = 0, nat = 16, ntyp = 4
/
ATOMIC_SPECIES
Ba 137.33 Ba.upf
Na 22.99 Na.upf
As 74.92 As.upf
Pd 106.42 Pd.upf
CELL_PARAMETERS angstrom
7.2583 0.0000 0.0000
0.0000 7.2583 0.0000
0.0000 0.0000 7.2583
ATOMIC_POSITIONS angstrom
Ba 0.0000 0.0000 0.0000
Ba 0.0000 3.6292 3.6292
Ba 3.6292 0.0000 3.6292
Ba 3.6292 3.6292 0.0000
Na 1.8146 1.8146 1.8146
Na 1.8146 5.4437 5.4437
Na 5.4437 1.8146 5.4437
Na 5.4437 5.4437 1.8146
As 1.8146 1.8146 5.4437
As 1.8146 5.4437 1.8146
As 5.4437 1.8146 1.8146
As 5.4437 5.4437 5.4437
Pd 0.0000 0.0000 3.6292
Pd 0.0000 3.6292 0.0000
Pd 3.6292 0.0000 0.0000
Pd 3.6292 3.6292 3.6292
```